Model A:
Compound: Ti4Bi2H
Source: Alexandria via LeMat-Bulk
Functional: GGA-PBE
Structure: optimized geometry

a = 5.422 Å, b = 5.766 Å, c = 8.465 Å
α = 90.00°, β = 112.92°, γ = 90.00°
Positions (direct):
Ti  0.858  0.250  0.044
Ti  0.551  0.497  0.292
Ti  0.873  0.250  0.641
Ti  0.551  0.003  0.292
Ti  0.127  0.750  0.359
Ti  0.449  0.997  0.708
Bi  0.146  0.250  0.399
H  0.693  0.250  0.791
Bi  0.302  0.250  0.966
H  0.307  0.750  0.209
Bi  0.698  0.750  0.034
Bi  0.854  0.750  0.601
Ti  0.142  0.750  0.956
Ti  0.449  0.503  0.708

Model B:
Compound: Ti4Bi2H
Source: Alexandria via LeMat-Bulk
Functional: GGA-PBE
Structure: optimized geometry

a = 4.194 Å, b = 4.194 Å, c = 7.689 Å
α = 105.83°, β = 105.83°, γ = 90.00°
Positions (direct):
Ti  0.143  0.143  0.287
H  0.000  0.000  0.000
Ti  0.500  0.000  0.000
Bi  0.351  0.351  0.702
Ti  0.857  0.857  0.713
Bi  0.649  0.649  0.298
Ti  0.000  0.500  0.000

The winner here is model B, beating the second structure by 6.1 kJ/mol of atoms.

Model A:
Compound: TlBiH2
Source: Alexandria via LeMat-Bulk
Functional: GGA-PBE
Structure: optimized geometry

a = 4.570 Å, b = 4.570 Å, c = 4.570 Å
α = 60.00°, β = 60.00°, γ = 60.00°
Positions (direct):
H  0.250  0.250  0.250
Bi  0.500  0.500  0.500
H  0.750  0.750  0.750
Tl  0.000  0.000  0.000

Model B:
Compound: TlBiH2
Source: Alexandria via LeMat-Bulk
Functional: GGA-PBE
Structure: optimized geometry

a = 5.064 Å, b = 5.064 Å, c = 7.401 Å
α = 70.00°, β = 70.00°, γ = 90.00°
Positions (direct):
H  0.875  0.016  0.750
Tl  0.500  0.500  0.000
Bi  0.000  0.000  0.000
H  0.766  0.125  0.250
Bi  0.750  0.250  0.500
H  0.984  0.625  0.250
Tl  0.250  0.750  0.500
H  0.375  0.234  0.750

Model C:
Compound: TlBiH2
Source: Alexandria via LeMat-Bulk
Functional: GGA-PBE
Structure: optimized geometry

a = 9.100 Å, b = 10.103 Å, c = 4.491 Å
α = 101.99°, β = 103.35°, γ = 30.73°
Positions (direct):
Bi  0.276  0.839  0.554
H  0.128  0.411  0.772
Bi  0.974  0.910  0.946
Tl  0.820  0.358  0.083
H  0.583  0.875  0.237
H  0.122  0.340  0.729
Tl  0.430  0.392  0.416
H  0.668  0.875  0.263

The winner here is model C, beating the second structure by 39.6 kJ/mol of atoms.

Model A:
Compound: TlBi2H2
Source: Alexandria via LeMat-Bulk
Functional: GGA-PBE
Structure: optimized geometry

a = 3.334 Å, b = 11.475 Å, c = 3.276 Å
α = 80.57°, β = 89.88°, γ = 81.82°
Positions (direct):
Bi  0.316  0.355  0.828
Tl  0.000  0.000  0.000
H  0.397  0.186  0.926
H  0.603  0.814  0.074
Bi  0.684  0.645  0.172

Model B:
Compound: TlBi2H2
Source: Alexandria via LeMat-Bulk
Functional: GGA-PBE
Structure: optimized geometry

a = 4.407 Å, b = 4.407 Å, c = 6.107 Å
α = 68.85°, β = 68.85°, γ = 90.00°
Positions (direct):
Bi  0.341  0.341  0.318
Bi  0.659  0.659  0.682
H  0.750  0.250  0.500
H  0.250  0.750  0.500
Tl  0.000  0.000  0.000

The winner here is model A, beating the second structure by 21.2 kJ/mol of atoms.